1.
Crystalline YTa2Te at its relaxed geometry. Source: the Alexandria database, functional PBE.

Results
Size of the total moment (μB per atom): 0.0000
ΔE_f (raw) (eV per atom): 0.1401
Density (g cm⁻³): 11.157
Space group: P4/mmm

a = 4.1760 Å, b = 4.1760 Å, c = 4.9363 Å
α = 90.00°, β = 90.00°, γ = 90.00°
Closest atoms and distances in Å follow each position.
Element x y z (fractional)
Ta 0.0000 0.0000 0.0000  4 Ta 2.95, 4 Te 3.23, 4 Y 3.23
Ta 0.5000 0.5000 0.0000  4 Ta 2.95, 4 Te 3.23, 4 Y 3.23
Te 0.5000 0.0000 0.5000  4 Y 2.95, 8 Ta 3.23
Y 0.0000 0.5000 0.5000  4 Te 2.95, 8 Ta 3.23

=====

2.
Crystalline YTa2Te at its relaxed geometry. Source: the Alexandria database, functional PBE.

Results
Size of the total moment (μB per atom): 0.0000
ΔE_f (raw) (eV per atom): 0.4589
Density (g cm⁻³): 10.748
Space group: Cmmm

a = 3.1793 Å, b = 3.1793 Å, c = 9.2470 Å
α = 90.00°, β = 90.00°, γ = 107.04°
Closest atoms and distances in Å follow each position.
Element x y z (fractional)
Ta 0.0000 0.0000 0.4768  2 Te 2.82, 2 Y 3.16
Te 0.5000 0.5000 0.2500  4 Ta 2.82
Y 0.5000 0.5000 0.7500  4 Ta 3.16, 4 Y 3.18
Ta 0.0000 0.0000 0.0232  2 Te 2.82, 2 Y 3.16

=====

3.
Crystalline YTaTe2 at its relaxed geometry. Source: the Alexandria database, functional PBE.

Results
Excess energy over the best structure of this formula in the dataset (meV/atom): 284
Size of the total moment (μB per atom): 0.0000
ΔE_f (raw) (eV per atom): -0.2586
Density (g cm⁻³): 8.588
Space group: R-3m

a = 8.9512 Å, b = 8.9512 Å, c = 8.9512 Å
α = 23.67°, β = 23.67°, γ = 23.67°
Closest atoms and distances in Å follow each position.
Element x y z (fractional)
Te 0.0106 0.0106 0.0106  3 Ta 2.85
Ta 0.7500 0.7500 0.7500  6 Te 2.85
Te 0.4894 0.4894 0.4894  3 Ta 2.85
Y 0.2500 0.2500 0.2500  6 Te 3.24

=====

4.
Crystalline YTaTe2 at its relaxed geometry. Source: the Alexandria database, functional PBE.

Results
Excess energy over the best structure of this formula in the dataset (meV/atom): 335
Size of the total moment (μB per atom): 0.0000
ΔE_f (raw) (eV per atom): -0.2078
Density (g cm⁻³): 7.622
Space group: Cmm2

a = 3.3608 Å, b = 3.3608 Å, c = 10.4942 Å
α = 90.00°, β = 90.00°, γ = 105.19°
Closest atoms and distances in Å follow each position.
Element x y z (fractional)
Te 0.5000 0.5000 0.3073  2 Y 3.03, 4 Te 3.36
Y 0.0000 0.0000 0.5209  2 Te 3.03, 2 Ta 3.13, 4 Y 3.36
Ta 0.5000 0.5000 0.7468  2 Te 2.77
Te 0.0000 0.0000 0.9251  2 Ta 2.77

=====

5.
Crystalline YTaTe2 at its relaxed geometry. Source: the Alexandria database, functional PBE.

Results
Excess energy over the best structure of this formula in the dataset (meV/atom): 349
Size of the total moment (μB per atom): 0.0000
ΔE_f (raw) (eV per atom): -0.1941
Density (g cm⁻³): 7.675
Space group: R-3m

a = 10.1587 Å, b = 10.1587 Å, c = 10.1587 Å
α = 20.60°, β = 20.60°, γ = 20.60°
Closest atoms and distances in Å follow each position.
Element x y z (fractional)
Te 0.1039 0.1039 0.1039  3 Ta 2.81, 1 Y 3.10
Te 0.8961 0.8961 0.8961  3 Ta 2.81, 1 Y 3.10
Ta 0.5000 0.5000 0.5000  6 Te 2.81
Y 0.0000 0.0000 0.0000  2 Te 3.10

=====

6.
Crystalline Y3TaTe at its relaxed geometry. Source: the Alexandria database, functional PBE.

Results
Excess energy over the best structure of this formula in the dataset (meV/atom): 268
Size of the total moment (μB per atom): 0.0002
ΔE_f (raw) (eV per atom): 0.6699
Density (g cm⁻³): 5.640
Space group: Pm-3m

a = 5.5327 Å, b = 5.5327 Å, c = 5.5327 Å
α = 90.00°, β = 90.00°, γ = 90.00°
Closest atoms and distances in Å follow each position.
Element x y z (fractional)
Ta 0.5000 0.5000 0.5000  12 Y 3.91
Te 0.0000 0.0000 0.0000  6 Y 2.77
Y 0.5000 0.0000 0.0000  2 Te 2.77
Y 0.0000 0.5000 0.0000  2 Te 2.77
Y 0.0000 0.0000 0.5000  2 Te 2.77